# 1
# CrNiSe2 (PBE, optimized geometry)
data_CrNiSe2
_chemical_formula_sum 'Cr4 Ni4 Se8'
_cell_length_a 6.3990
_cell_length_b 6.3990
_cell_length_c 6.3990
_cell_angle_alpha 90.00
_cell_angle_beta 90.00
_cell_angle_gamma 90.00
_space_group_name_H-M_alt 'F -4 3 m'
_space_group_IT_number 216
_space_group_name_Hall 'F -4 2 3'
loop_
_atom_site_label
_atom_site_fract_x
_atom_site_fract_y
_atom_site_fract_z
Cr1 0.0000 0.0000 0.0000
Ni1 0.2500 0.2500 0.2500
Se1 0.0000 0.0000 0.5000
Se2 0.2500 0.2500 0.7500
# **Total DFT energy (no corrections)**: -5.07 eV/atom
# **ΔE_f (raw)**: 12.055 kcal/mol of atoms
# **Size of the total moment**: 3.3 μB per formula unit

# 2
# EuDyY (PBE, optimized geometry)
data_EuDyY
_chemical_formula_sum 'Eu1 Dy1 Y1'
_cell_length_a 3.6456
_cell_length_b 3.6456
_cell_length_c 8.9290
_cell_angle_alpha 90.00
_cell_angle_beta 90.00
_cell_angle_gamma 120.00
_space_group_name_H-M_alt 'P 3 m 1'
_space_group_IT_number 156
loop_
_space_group_symop_operation_xyz
'x,y,z'
'-y,x-y,z'
'-x+y,-x,z'
'-y,-x,z'
'-x+y,y,z'
'x,x-y,z'
loop_
_atom_site_label
_atom_site_fract_x
_atom_site_fract_y
_atom_site_fract_z
Eu1 0.0000 0.0000 0.0000
Dy1 0.6667 0.3333 0.3436
Y1 0.3333 0.6667 0.6542
# **Total DFT energy (no corrections)**: -7.06 eV/atom
# **Size of the total moment**: 7.3 μB per formula unit

# 3
# LuZnRuRh (PBE, optimized geometry)
data_LuZnRuRh
_chemical_formula_sum 'Lu4 Zn4 Ru4 Rh4'
_cell_length_a 6.3621
_cell_length_b 6.3621
_cell_length_c 6.3621
_cell_angle_alpha 90.00
_cell_angle_beta 90.00
_cell_angle_gamma 90.00
_space_group_name_H-M_alt 'F -4 3 m'
_space_group_IT_number 216
_space_group_name_Hall 'F -4 2 3'
loop_
_atom_site_label
_atom_site_fract_x
_atom_site_fract_y
_atom_site_fract_z
Lu1 0.0000 0.0000 0.0000
Zn1 0.0000 0.0000 0.5000
Ru1 0.2500 0.2500 0.2500
Rh1 0.2500 0.2500 0.7500
# **Total DFT energy (no corrections)**: -6.02 eV/atom
# **Size of the total moment**: 0.0 μB per formula unit

# 4
# Ba3PrSb2O9 (PBE, optimized geometry)
data_Ba3PrSb2O9
_chemical_formula_sum 'Ba3 Pr1 Sb2 O9'
_cell_length_a 6.1262
_cell_length_b 6.1262
_cell_length_c 7.5333
_cell_angle_alpha 90.00
_cell_angle_beta 90.00
_cell_angle_gamma 120.00
_space_group_name_H-M_alt 'P -3 m 1'
_space_group_IT_number 164
_space_group_name_Hall '-P 3 2"'
loop_
_atom_site_label
_atom_site_fract_x
_atom_site_fract_y
_atom_site_fract_z
Ba1 0.0000 0.0000 0.0000
Ba2 0.3333 0.6667 0.6826
Pr1 0.0000 0.0000 0.5000
Sb1 0.3333 0.6667 0.1643
O1 0.0000 0.5000 0.0000
O2 0.1771 0.3541 0.3162
# **Total DFT energy (no corrections)**: -6.58 eV/atom
# **ΔE_f (raw)**: -54.281 kcal/mol of atoms
# **Size of the total moment**: 0.0 μB per formula unit

# 5
# PuNbAl (PBE, optimized geometry)
data_PuNbAl
_chemical_formula_sum 'Pu2 Nb2 Al2'
_cell_length_a 2.9052
_cell_length_b 2.9052
_cell_length_c 13.9286
_cell_angle_alpha 90.00
_cell_angle_beta 90.00
_cell_angle_gamma 90.00
_space_group_name_H-M_alt 'I 4 m m'
_space_group_IT_number 107
_space_group_name_Hall 'I 4 -2'
loop_
_atom_site_label
_atom_site_fract_x
_atom_site_fract_y
_atom_site_fract_z
Pu1 0.0000 0.0000 0.0000
Nb1 0.0000 0.0000 0.6837
Al1 0.0000 0.0000 0.3264
# **Total DFT energy (no corrections)**: -9.42 eV/atom
# **Size of the total moment**: 5.0 μB per formula unit

# 6
# CoBH2 (PBE, optimized geometry)
data_CoBH2
_chemical_formula_sum 'Co4 B4 H8'
_cell_length_a 4.4179
_cell_length_b 4.4179
_cell_length_c 4.4179
_cell_angle_alpha 90.00
_cell_angle_beta 90.00
_cell_angle_gamma 90.00
_space_group_name_H-M_alt 'F m -3 m'
_space_group_IT_number 225
_space_group_name_Hall '-F 4 2 3'
loop_
_atom_site_label
_atom_site_fract_x
_atom_site_fract_y
_atom_site_fract_z
Co1 0.0000 0.0000 0.0000
B1 0.0000 0.0000 0.5000
H1 0.2500 0.2500 0.2500
# **Total DFT energy (no corrections)**: -4.31 eV/atom
# **Size of the total moment**: 0.0 μB per formula unit

# 7
# CeScPd6 (PBE, optimized geometry)
data_CeScPd6
_chemical_formula_sum 'Ce1 Sc1 Pd6'
_cell_length_a 4.0839
_cell_length_b 4.0839
_cell_length_c 8.1302
_cell_angle_alpha 90.00
_cell_angle_beta 90.00
_cell_angle_gamma 90.00
_space_group_name_H-M_alt 'P 4/m m m'
_space_group_IT_number 123
_space_group_name_Hall '-P 4 2'
loop_
_atom_site_label
_atom_site_fract_x
_atom_site_fract_y
_atom_site_fract_z
Ce1 0.0000 0.0000 0.0000
Sc1 0.0000 0.0000 0.5000
Pd1 0.0000 0.5000 0.2561
Pd2 0.5000 0.5000 0.0000
Pd3 0.5000 0.5000 0.5000
# **Total DFT energy (no corrections)**: -6.28 eV/atom
# **Size of the total moment**: 0.1 μB per formula unit

# 8
# Cr2SbP (PBE, optimized geometry)
data_Cr2SbP
_chemical_formula_sum 'Cr6 Sb3 P3'
_cell_length_a 3.1163
_cell_length_b 3.1163
_cell_length_c 23.5912
_cell_angle_alpha 90.00
_cell_angle_beta 90.00
_cell_angle_gamma 120.00
_space_group_name_H-M_alt 'R 3 m'
_space_group_IT_number 160
_space_group_name_Hall 'R 3 -2"'
loop_
_atom_site_label
_atom_site_fract_x
_atom_site_fract_y
_atom_site_fract_z
Cr1 0.0000 0.0000 0.0000
Cr2 0.0000 0.0000 0.2548
Sb1 0.0000 0.0000 0.7555
P1 0.0000 0.0000 0.5276
# **Total DFT energy (no corrections)**: -6.87 eV/atom
# **ΔE_f (raw)**: 7.558 kcal/mol of atoms
# **Size of the total moment**: 1.1 μB per formula unit